! Cs2In2Se | Alexandria | GGA-PBEsol | relaxed; values from VASP
&SYSTEM
  ibrav = 0, nat = 5, ntyp = 3
/
ATOMIC_SPECIES
Cs 132.91 Cs.upf
In 114.82 In.upf
Se 78.96 Se.upf
CELL_PARAMETERS angstrom
4.9655 0.0000 0.0000
0.0000 4.9655 0.0000
-2.4828 -2.4828 8.0208
ATOMIC_POSITIONS crystal
Cs 0.7500 0.2500 0.5000
Cs 0.2500 0.7500 0.5000
In 0.4170 0.4170 0.8340
In 0.5830 0.5830 0.1660
Se 0.0000 0.0000 0.0000
! Crystal system ... tetragonal
! Total moment ... 0.00 μB per formula unit
! Uncorrected formation energy ... 0.19 eV per atom
! DFT total energy ... -10.77 eV per formula unit